Entry 1:
Density functional theory data (PBE-GGA) for crystalline La3Mg4Tl4 at its relaxed geometry.

Computed properties:
DFT formation energy (eV/atom): -0.340
Uncorrected energy (eV per atom): -3.12

Cell lengths 9.2631, 9.2631, 9.2631 Å; angles 149.59, 130.21, 59.47 degrees
Fractional positions:
La (0.0000, 0.0000, 0.0000)
La (0.3781, 0.8781, 0.5000)
La (0.6219, 0.1219, 0.5000)
Mg (0.0215, 0.3283, 0.6932)
Mg (0.3649, 0.6717, 0.6932)
Mg (0.6351, 0.3283, 0.3068)
Mg (0.9785, 0.6717, 0.3068)
Tl (0.2186, 0.2186, 0.0000)
Tl (0.3018, 0.5000, 0.8018)
Tl (0.6982, 0.5000, 0.1982)
Tl (0.7814, 0.7814, 0.0000)

***

Entry 2:
Density functional theory data (PBE-GGA) for crystalline LaMgTl at its relaxed geometry.

Computed properties:
DFT formation energy (eV/atom): -0.163
Uncorrected energy (eV per atom): -3.13

Cell lengths 6.5328, 6.5328, 7.5911 Å; angles 108.02, 108.02, 34.29 degrees
Fractional positions:
La (0.1594, 0.1594, 0.0922)
La (0.8406, 0.8406, 0.9078)
Mg (0.1524, 0.1524, 0.5596)
Mg (0.8476, 0.8476, 0.4404)
Tl (0.4820, 0.4820, 0.2714)
Tl (0.5180, 0.5180, 0.7286)

***

Entry 3:
Density functional theory data (PBE-GGA) for crystalline La2Mg3Tl4 at its relaxed geometry.

Computed properties:
DFT formation energy (eV/atom): -0.256
Uncorrected energy (eV per atom): -2.93

Cell lengths 9.1470, 9.1470, 8.7224 Å; angles 90.00, 90.00, 137.53 degrees
Fractional positions:
La (0.1083, 0.8917, 0.9108)
La (0.3917, 0.6083, 0.4108)
La (0.6083, 0.3917, 0.5892)
La (0.8917, 0.1083, 0.0892)
Mg (0.0000, 0.0000, 0.5000)
Mg (0.0258, 0.4742, 0.7500)
Mg (0.4742, 0.0258, 0.2500)
Mg (0.5000, 0.5000, 0.0000)
Mg (0.5258, 0.9742, 0.7500)
Mg (0.9742, 0.5258, 0.2500)
Tl (0.1778, 0.8222, 0.5311)
Tl (0.1976, 0.3024, 0.7500)
Tl (0.3024, 0.1976, 0.2500)
Tl (0.3222, 0.6778, 0.0311)
Tl (0.6778, 0.3222, 0.9689)
Tl (0.6976, 0.8024, 0.7500)
Tl (0.8024, 0.6976, 0.2500)
Tl (0.8222, 0.1778, 0.4689)